No. 1
First-principles (PBE-GGA) data for crystalline Cs2KZn2H6 at its relaxed geometry, as listed in Alexandria via LeMat-Bulk.

Cell lengths 6.4407, 6.4407, 7.7884 Å; angles 117.62, 117.62, 57.19 degrees
With the nearest neighbours (Å) after each atom.
Positions (direct):
Cs  0.2109  0.2109  0.1909  9 H 3.17-3.38
Cs  0.7891  0.7891  0.8091  9 H 3.17-3.38
K  0.0000  0.0000  0.5000  6 H 2.64-2.76
Zn  0.4562  0.4562  0.7961  3 H 1.65
Zn  0.5438  0.5438  0.2039  3 H 1.65
H  0.2460  0.6988  0.2199  1 Zn 1.65
H  0.2846  0.2846  0.6717  1 Zn 1.65
H  0.3012  0.7540  0.7801  1 Zn 1.65
H  0.6988  0.2460  0.2199  1 Zn 1.65
H  0.7154  0.7154  0.3283  1 Zn 1.65
H  0.7540  0.3012  0.7801  1 Zn 1.65

Results
- Electronic total energy: -2.464 eV per atom
- Crystal system: monoclinic
- Magnetization: 0.088 μB per atom


No. 2
First-principles (PBE-GGA) data for crystalline ZrNb2SnH at its relaxed geometry, as listed in Alexandria via LeMat-Bulk.

Cell lengths 4.2124, 4.2124, 4.5840 Å; angles 90.00, 90.00, 90.00 degrees
With the nearest neighbours (Å) after each atom.
Positions (direct):
Zr  0.0000  0.0000  0.0000  2 H 2.29
Nb  0.0000  0.5000  0.5000  2 H 2.11
Nb  0.5000  0.0000  0.5000  2 H 2.11
Sn  0.5000  0.5000  0.0000  4 Zr 2.98, 8 Nb 3.11
H  0.0000  0.0000  0.5000  4 Nb 2.11, 2 Zr 2.29

Results
- Electronic total energy: -7.491 eV per atom
- Crystal system: tetragonal
- Magnetization: 0.000 μB per atom


No. 3
First-principles (PBE-GGA) data for crystalline Ba2TmIn4Hg3 at its relaxed geometry, as listed in Alexandria via LeMat-Bulk.

Cell lengths 4.7708, 4.7708, 13.4429 Å; angles 90.00, 90.00, 90.00 degrees
With the nearest neighbours (Å) after each atom.
Positions (direct):
Ba  0.0000  0.5000  0.2378  4 Hg 3.63, 8 In 3.72-3.99
Ba  0.5000  0.0000  0.7622  4 Hg 3.63, 8 In 3.72-3.99
Tm  0.0000  0.0000  0.5000  4 In 3.09, 4 Hg 3.37
In  0.0000  0.0000  0.0000  4 Hg 3.03, 4 In 3.37
In  0.0000  0.5000  0.6460  3 Hg 2.90-3.09, 2 Tm 3.09
In  0.5000  0.0000  0.3540  3 Hg 2.90-3.09, 2 Tm 3.09
In  0.5000  0.5000  0.0000  4 Hg 3.03, 4 In 3.37
Hg  0.0000  0.5000  0.8615  5 In 2.90-3.03
Hg  0.5000  0.0000  0.1385  5 In 2.90-3.03
Hg  0.5000  0.5000  0.5000  4 In 3.09, 4 Tm 3.37

Results
- Electronic total energy: -2.377 eV per atom
- Crystal system: tetragonal
- Magnetization: 0.000 μB per atom


No. 4
First-principles (PBE-GGA) data for crystalline ZrTcSn2I at its relaxed geometry, as listed in Alexandria via LeMat-Bulk.

Cell lengths 5.0735, 5.0735, 5.4911 Å; angles 90.00, 90.00, 90.00 degrees
With the nearest neighbours (Å) after each atom.
Positions (direct):
Zr  0.0000  0.0000  0.0000  4 I 3.59, 8 Sn 3.74
Tc  0.5000  0.5000  0.5000  4 Sn 2.54, 2 I 2.75
Sn  0.0000  0.5000  0.5000  2 Tc 2.54
Sn  0.5000  0.0000  0.5000  2 Tc 2.54
I  0.5000  0.5000  0.0000  2 Tc 2.75

Results
- Electronic total energy: -4.849 eV per atom
- Crystal system: tetragonal
- Energy relative to the elements, uncorrected: 0.84 eV per atom
- Magnetization: 0.000 μB per atom


No. 5
First-principles (PBE-GGA) data for crystalline SmCd4Cu at its relaxed geometry, as listed in Alexandria via LeMat-Bulk.

Cell lengths 8.8460, 8.8460, 5.1222 Å; angles 106.60, 106.60, 46.64 degrees
With the nearest neighbours (Å) after each atom.
Positions (direct):
Sm  0.2050  0.2050  0.2034  12 Cd 3.29-3.57
Sm  0.7950  0.7950  0.7966  12 Cd 3.29-3.57
Cd  0.1154  0.6534  0.3853  2 Cu 2.84-2.87, 2 Cd 3.13-3.14
Cd  0.1885  0.8115  0.0000  2 Cu 2.58, 1 Cd 2.64
Cd  0.3387  0.3387  0.8357  2 Cu 2.84-2.85
Cd  0.3466  0.8846  0.6147  2 Cu 2.84-2.87, 2 Cd 3.13-3.14
Cd  0.6534  0.1154  0.3853  2 Cu 2.84-2.87, 2 Cd 3.13-3.14
Cd  0.6613  0.6613  0.1643  2 Cu 2.84-2.85
Cd  0.8115  0.1885  0.0000  2 Cu 2.58, 1 Cd 2.64
Cd  0.8846  0.3466  0.6147  2 Cu 2.84-2.87, 2 Cd 3.13-3.14
Cu  0.4987  0.4987  0.2660  1 Cu 2.38, 2 Cd 2.58
Cu  0.5013  0.5013  0.7340  1 Cu 2.38, 2 Cd 2.58

Results
- Electronic total energy: -2.190 eV per atom
- Crystal system: monoclinic
- Magnetization: 0.000 μB per atom


No. 6
First-principles (PBE-GGA) data for crystalline KLiCu2 at its relaxed geometry, as listed in Alexandria via LeMat-Bulk.

Cell lengths 7.4402, 4.2917, 6.3876 Å; angles 90.00, 112.17, 90.00 degrees
With the nearest neighbours (Å) after each atom.
Positions (direct):
K  0.0000  0.0000  0.0000  2 Li 3.24-3.61, 7 Cu 3.40-3.60
K  0.5000  0.5000  0.0000  2 Li 3.24-3.61, 7 Cu 3.40-3.60
Li  0.3204  0.5000  0.4516  6 Cu 2.56-2.59
Li  0.8204  0.0000  0.4516  6 Cu 2.56-2.59
Cu  0.0226  0.5000  0.5603  3 Cu 2.48, 3 Li 2.56
Cu  0.1938  0.0000  0.5743  3 Cu 2.48, 3 Li 2.58-2.59
Cu  0.5226  0.0000  0.5603  3 Cu 2.48, 3 Li 2.56
Cu  0.6938  0.5000  0.5743  3 Cu 2.48, 3 Li 2.58-2.59

Results
- Electronic total energy: -2.650 eV per atom
- Crystal system: monoclinic
- Magnetization: 0.000 μB per atom